A plane-wave DFT calculation with PBE+U was carried out for a relaxed structure of AlVP2O.

Cell lengths 5.0236, 5.0236, 3.3287 Å; angles 90.00, 90.00, 90.00 degrees
Space group P4/mmm (No. 123)
Inequivalent atoms, fractional coordinates:
Al 0.0000 0.0000 0.0000 [1 per cell]
V 0.5000 0.5000 0.5000 [1 per cell]
P 0.0000 0.5000 0.0000 [2 per cell]
O 0.0000 0.0000 0.5000 [1 per cell]

Values from the calculation:
polymorph energy (0 for the lowest one): 0.068 eV per atom